AcNdCdPd | PBE | optimized geometry

```
data_AcNdCdPd
_chemical_formula_sum 'Ac4 Nd4 Cd4 Pd4'
_space_group_name_H-M_alt 'F -4 3 m'
_space_group_IT_number 216
_space_group_name_Hall 'F -4 2 3'
_cell_length_a 7.6920
_cell_length_b 7.6920
_cell_length_c 7.6920
_cell_angle_alpha 90.00
_cell_angle_beta 90.00
_cell_angle_gamma 90.00
loop_
_atom_site_label
_atom_site_type_symbol
_atom_site_fract_x
_atom_site_fract_y
_atom_site_fract_z
Ac1 Ac 0.0000 0.0000 0.0000
Nd1 Nd 0.0000 0.0000 0.5000
Cd1 Cd 0.2500 0.2500 0.2500
Pd1 Pd 0.2500 0.2500 0.7500
```



# AcPmNdCd PBE optimized geometry
# ΔE to the lowest computed polymorph   171 meV/atom
data_AcPmNdCd
_chemical_formula_sum 'Ac4 Pm4 Nd4 Cd4'
_space_group_name_H-M_alt 'F -4 3 m'
_space_group_IT_number 216
_space_group_name_Hall 'F -4 2 3'
_cell_length_a 8.0922
_cell_length_b 8.0922
_cell_length_c 8.0922
_cell_angle_alpha 90.00
_cell_angle_beta 90.00
_cell_angle_gamma 90.00
loop_
_atom_site_label
_atom_site_type_symbol
_atom_site_fract_x
_atom_site_fract_y
_atom_site_fract_z
Ac1 Ac 0.0000 0.0000 0.0000
Pm1 Pm 0.2500 0.2500 0.2500
Nd1 Nd 0.2500 0.2500 0.7500
Cd1 Cd 0.0000 0.0000 0.5000



# AcPmNdCd PBE optimized geometry
# ΔE to the lowest computed polymorph   0 meV/atom
data_AcPmNdCd
_chemical_formula_sum 'Ac1 Pm1 Nd1 Cd1'
_space_group_name_H-M_alt 'P 4 m m'
_space_group_IT_number 99
_space_group_name_Hall 'P 4 -2'
_cell_length_a 3.8556
_cell_length_b 3.8556
_cell_length_c 9.0311
_cell_angle_alpha 90.00
_cell_angle_beta 90.00
_cell_angle_gamma 90.00
loop_
_atom_site_label
_atom_site_type_symbol
_atom_site_fract_x
_atom_site_fract_y
_atom_site_fract_z
Ac1 Ac 0.0000 0.0000 0.0000
Pm1 Pm 0.5000 0.5000 0.2871
Nd1 Nd 0.5000 0.5000 0.7105
Cd1 Cd 0.0000 0.0000 0.4960



AcNdPuCd | PBE | optimized geometry

```
data_AcNdPuCd
_chemical_formula_sum 'Ac4 Nd4 Pu4 Cd4'
_space_group_name_H-M_alt 'F -4 3 m'
_space_group_IT_number 216
_space_group_name_Hall 'F -4 2 3'
_cell_length_a 8.0265
_cell_length_b 8.0265
_cell_length_c 8.0265
_cell_angle_alpha 90.00
_cell_angle_beta 90.00
_cell_angle_gamma 90.00
loop_
_atom_site_label
_atom_site_type_symbol
_atom_site_fract_x
_atom_site_fract_y
_atom_site_fract_z
Ac1 Ac 0.0000 0.0000 0.0000
Nd1 Nd 0.0000 0.0000 0.5000
Pu1 Pu 0.2500 0.2500 0.7500
Cd1 Cd 0.2500 0.2500 0.2500
```



AcNdCdRh | PBE | optimized geometry

```
data_AcNdCdRh
_chemical_formula_sum 'Ac4 Nd4 Cd4 Rh4'
_space_group_name_H-M_alt 'F -4 3 m'
_space_group_IT_number 216
_space_group_name_Hall 'F -4 2 3'
_cell_length_a 7.5892
_cell_length_b 7.5892
_cell_length_c 7.5892
_cell_angle_alpha 90.00
_cell_angle_beta 90.00
_cell_angle_gamma 90.00
loop_
_atom_site_label
_atom_site_type_symbol
_atom_site_fract_x
_atom_site_fract_y
_atom_site_fract_z
Ac1 Ac 0.0000 0.0000 0.0000
Nd1 Nd 0.0000 0.0000 0.5000
Cd1 Cd 0.2500 0.2500 0.7500
Rh1 Rh 0.2500 0.2500 0.2500
```



AcNdCdRu | PBE | optimized geometry

```
data_AcNdCdRu
_chemical_formula_sum 'Ac4 Nd4 Cd4 Ru4'
_space_group_name_H-M_alt 'F -4 3 m'
_space_group_IT_number 216
_space_group_name_Hall 'F -4 2 3'
_cell_length_a 7.5479
_cell_length_b 7.5479
_cell_length_c 7.5479
_cell_angle_alpha 90.00
_cell_angle_beta 90.00
_cell_angle_gamma 90.00
loop_
_atom_site_label
_atom_site_type_symbol
_atom_site_fract_x
_atom_site_fract_y
_atom_site_fract_z
Ac1 Ac 0.0000 0.0000 0.0000
Nd1 Nd 0.0000 0.0000 0.5000
Cd1 Cd 0.2500 0.2500 0.7500
Ru1 Ru 0.2500 0.2500 0.2500
```



AcNdScCd | PBE | optimized geometry

```
data_AcNdScCd
_chemical_formula_sum 'Ac4 Nd4 Sc4 Cd4'
_space_group_name_H-M_alt 'F -4 3 m'
_space_group_IT_number 216
_space_group_name_Hall 'F -4 2 3'
_cell_length_a 7.8658
_cell_length_b 7.8658
_cell_length_c 7.8658
_cell_angle_alpha 90.00
_cell_angle_beta 90.00
_cell_angle_gamma 90.00
loop_
_atom_site_label
_atom_site_type_symbol
_atom_site_fract_x
_atom_site_fract_y
_atom_site_fract_z
Ac1 Ac 0.0000 0.0000 0.0000
Nd1 Nd 0.2500 0.2500 0.2500
Sc1 Sc 0.2500 0.2500 0.7500
Cd1 Cd 0.0000 0.0000 0.5000
```



# AcNdSmCd PBE optimized geometry
# ΔE to the lowest computed polymorph   174 meV/atom
data_AcNdSmCd
_chemical_formula_sum 'Ac4 Nd4 Sm4 Cd4'
_space_group_name_H-M_alt 'F -4 3 m'
_space_group_IT_number 216
_space_group_name_Hall 'F -4 2 3'
_cell_length_a 8.0804
_cell_length_b 8.0804
_cell_length_c 8.0804
_cell_angle_alpha 90.00
_cell_angle_beta 90.00
_cell_angle_gamma 90.00
loop_
_atom_site_label
_atom_site_type_symbol
_atom_site_fract_x
_atom_site_fract_y
_atom_site_fract_z
Ac1 Ac 0.0000 0.0000 0.0000
Nd1 Nd 0.2500 0.2500 0.2500
Sm1 Sm 0.2500 0.2500 0.7500
Cd1 Cd 0.0000 0.0000 0.5000



# AcNdSmCd PBE optimized geometry
# ΔE to the lowest computed polymorph   0 meV/atom
data_AcNdSmCd
_chemical_formula_sum 'Ac1 Nd1 Sm1 Cd1'
_space_group_name_H-M_alt 'P 4 m m'
_space_group_IT_number 99
_space_group_name_Hall 'P 4 -2'
_cell_length_a 3.8474
_cell_length_b 3.8474
_cell_length_c 9.0267
_cell_angle_alpha 90.00
_cell_angle_beta 90.00
_cell_angle_gamma 90.00
loop_
_atom_site_label
_atom_site_type_symbol
_atom_site_fract_x
_atom_site_fract_y
_atom_site_fract_z
Ac1 Ac 0.0000 0.0000 0.0000
Nd1 Nd 0.5000 0.5000 0.7091
Sm1 Sm 0.5000 0.5000 0.2867
Cd1 Cd 0.0000 0.0000 0.4931



AcNdCdSn | PBE | optimized geometry

```
data_AcNdCdSn
_chemical_formula_sum 'Ac4 Nd4 Cd4 Sn4'
_space_group_name_H-M_alt 'F -4 3 m'
_space_group_IT_number 216
_space_group_name_Hall 'F -4 2 3'
_cell_length_a 7.9470
_cell_length_b 7.9470
_cell_length_c 7.9470
_cell_angle_alpha 90.00
_cell_angle_beta 90.00
_cell_angle_gamma 90.00
loop_
_atom_site_label
_atom_site_type_symbol
_atom_site_fract_x
_atom_site_fract_y
_atom_site_fract_z
Ac1 Ac 0.0000 0.0000 0.0000
Nd1 Nd 0.0000 0.0000 0.5000
Cd1 Cd 0.2500 0.2500 0.2500
Sn1 Sn 0.2500 0.2500 0.7500
```



AcNd2Cd2Sn2 | PBE | optimized geometry

```
data_AcNd2Cd2Sn2
_chemical_formula_sum 'Ac3 Nd6 Cd6 Sn6'
_space_group_name_H-M_alt 'R -3 m'
_space_group_IT_number 166
_space_group_name_Hall '-R 3 2"'
_cell_length_a 5.0720
_cell_length_b 5.0720
_cell_length_c 28.4214
_cell_angle_alpha 90.00
_cell_angle_beta 90.00
_cell_angle_gamma 120.00
loop_
_atom_site_label
_atom_site_type_symbol
_atom_site_fract_x
_atom_site_fract_y
_atom_site_fract_z
Ac1 Ac 0.0000 0.0000 0.0000
Nd1 Nd 0.0000 0.0000 0.1336
Cd1 Cd 0.0000 0.0000 0.4245
Sn1 Sn 0.0000 0.0000 0.2631
```



Ac2NdCd2Sn2 | PBE | optimized geometry

```
data_Ac2NdCd2Sn2
_chemical_formula_sum 'Ac6 Nd3 Cd6 Sn6'
_space_group_name_H-M_alt 'R -3 m'
_space_group_IT_number 166
_space_group_name_Hall '-R 3 2"'
_cell_length_a 4.7567
_cell_length_b 4.7567
_cell_length_c 36.2434
_cell_angle_alpha 90.00
_cell_angle_beta 90.00
_cell_angle_gamma 120.00
loop_
_atom_site_label
_atom_site_type_symbol
_atom_site_fract_x
_atom_site_fract_y
_atom_site_fract_z
Ac1 Ac 0.0000 0.0000 0.1226
Nd1 Nd 0.0000 0.0000 0.0000
Cd1 Cd 0.0000 0.0000 0.3806
Sn1 Sn 0.0000 0.0000 0.2671
```



| no. | formation energy (eV per formula unit) |
| --- | --- |
| 1 | -1.75 |
| 2 | 0.10 |
| 3 | -0.58 |
| 4 | 0.39 |
| 5 | -1.44 |
| 6 | -0.34 |
| 7 | 0.38 |
| 8 | 0.13 |
| 9 | -0.57 |
| 10 | -1.93 |
| 11 | -2.55 |
| 12 | -2.35 |